! Cu2MoRh, single point on PBEsol structure, DFT SCAN; values from VASP
! Electronic total energy   -24.59 eV per atom
! DFT formation energy   16.90 kJ/mol of atoms
! SG   F-43m (216)
&SYSTEM
  ibrav = 0, nat = 4, ntyp = 3
/
ATOMIC_SPECIES
Cu 63.55 Cu.upf
Mo 95.94 Mo.upf
Rh 102.91 Rh.upf
CELL_PARAMETERS angstrom
0.000 2.970 2.970
2.970 0.000 2.970
2.970 2.970 0.000
ATOMIC_POSITIONS angstrom
Cu 0.000 0.000 0.000
Cu 1.485 1.485 1.485
Mo 4.455 4.455 4.455
Rh 2.970 2.970 2.970


! RbAs3I, single point on PBEsol structure, DFT SCAN; values from VASP
! Electronic total energy   -22.16 eV per atom
! Formation energy from raw total energies   1.45 eV per atom
! SG   Pm-3m (221)
&SYSTEM
  ibrav = 0, nat = 5, ntyp = 3
/
ATOMIC_SPECIES
Rb 85.47 Rb.upf
As 74.92 As.upf
I 126.90 I.upf
CELL_PARAMETERS angstrom
6.540 0.000 0.000
0.000 6.540 0.000
0.000 0.000 6.540
ATOMIC_POSITIONS angstrom
Rb 0.000 0.000 0.000
As 0.000 0.000 3.270
As 0.000 3.270 0.000
As 3.270 0.000 0.000
I 3.270 3.270 3.270


! Sr2BeCo2, single point on PBEsol structure, DFT SCAN; values from VASP
! Electronic total energy   -16.15 eV per atom
! DFT formation energy   52.98 kJ/mol of atoms
! SG   I4/mmm (139)
&SYSTEM
  ibrav = 0, nat = 5, ntyp = 3
/
ATOMIC_SPECIES
Sr 87.62 Sr.upf
Be 9.01 Be.upf
Co 58.93 Co.upf
CELL_PARAMETERS angstrom
-1.681 1.681 9.324
1.681 -1.681 9.324
1.681 1.681 -9.324
ATOMIC_POSITIONS angstrom
Sr 0.000 0.000 2.077
Sr 0.000 0.000 16.572
Be 0.000 0.000 9.324
Co 1.681 0.000 4.662
Co 0.000 1.681 4.662


! Ti2Al2CrCuS8, single point on PBEsol structure, DFT SCAN; values from VASP
! Electronic total energy   -12.54 eV per atom
! Formation energy from raw total energies   -1.24 eV per atom
! SG   Cm (8)
&SYSTEM
  ibrav = 0, nat = 14, ntyp = 5
/
ATOMIC_SPECIES
Ti 47.87 Ti.upf
Al 26.98 Al.upf
Cr 52.00 Cr.upf
Cu 63.55 Cu.upf
S 32.06 S.upf
CELL_PARAMETERS angstrom
5.951 -3.438 0.000
5.951 3.438 0.000
-3.979 0.000 5.870
ATOMIC_POSITIONS angstrom
Ti 5.951 1.875 0.000
Ti 5.951 -1.875 0.000
Al 0.789 0.000 2.898
Al 4.807 0.000 3.504
Cr -1.409 0.000 5.849
Cu 8.772 0.000 2.173
S 1.817 1.602 1.464
S -0.167 1.588 4.438
S 4.725 0.000 1.222
S 1.817 -1.602 1.464
S -0.167 -1.588 4.438
S 2.717 0.000 4.392
S 8.757 0.000 4.360
S 10.824 0.000 1.402


! Mn3Cr2NiP6O24, single point on PBEsol structure, DFT SCAN; values from VASP
! Electronic total energy   -11.16 eV per atom
! Formation energy from raw total energies   -2.28 eV per atom
! SG   R3 (146)
&SYSTEM
  ibrav = 0, nat = 36, ntyp = 5
/
ATOMIC_SPECIES
Mn 54.94 Mn.upf
Cr 52.00 Cr.upf
Ni 58.69 Ni.upf
P 30.97 P.upf
O 16.00 O.upf
CELL_PARAMETERS angstrom
4.236 2.445 6.619
-4.236 2.445 6.619
0.000 -4.891 6.619
ATOMIC_POSITIONS angstrom
Mn 0.000 0.000 0.000
Mn 0.000 0.000 4.266
Mn 0.000 0.000 14.172
Cr 0.000 0.000 7.108
Cr 0.000 0.000 17.033
Ni 0.000 0.000 9.877
P -2.989 0.283 8.745
P -1.245 -2.163 12.035
P 1.249 -2.731 8.745
P -1.250 2.160 12.035
P 1.740 2.447 8.745
P 2.495 0.003 12.035
O -3.548 0.974 7.503
O -2.811 -2.403 11.872
O -0.786 -1.209 5.673
O -3.351 1.024 10.019
O 0.930 -3.559 7.503
O -1.472 0.111 8.461
O -0.654 1.286 5.673
O -0.852 -1.503 10.753
O 0.789 -3.414 10.019
O 0.640 -1.331 8.461
O 1.440 -0.076 5.673
O -0.864 -1.416 13.306
O -0.876 1.489 10.753
O 0.832 1.219 8.461
O -1.440 -0.086 15.590
O -0.794 1.457 13.306
O 1.727 0.014 10.753
O -0.676 3.636 11.872
O 0.795 -1.204 15.590
O 2.617 2.585 7.503
O 1.659 -0.041 13.306
O 3.487 -1.233 11.872
O 0.645 1.290 15.590
O 2.562 2.390 10.019


! CaSi2Au, single point on PBEsol structure, DFT SCAN; values from VASP
! Electronic total energy   -25.12 eV per atom
! Formation energy from raw total energies   -0.41 eV per atom
! SG   C2/m (12)
&SYSTEM
  ibrav = 0, nat = 4, ntyp = 3
/
ATOMIC_SPECIES
Ca 40.08 Ca.upf
Si 28.09 Si.upf
Au 196.97 Au.upf
CELL_PARAMETERS angstrom
3.580 -2.042 0.000
3.580 2.042 0.000
-2.325 0.000 5.357
ATOMIC_POSITIONS angstrom
Ca 0.000 0.000 0.000
Si 0.048 0.000 3.538
Si 4.787 0.000 1.819
Au 2.418 0.000 2.679


! TaTcRh2, single point on PBEsol structure, DFT SCAN; values from VASP
! Electronic total energy   -42.76 eV per atom
! Energy above the most stable polymorph in this dataset   0.00 eV/f.u.
! DFT formation energy   -44.74 kJ/mol of atoms
! SG   P4/mmm (123)
&SYSTEM
  ibrav = 0, nat = 4, ntyp = 3
/
ATOMIC_SPECIES
Ta 180.95 Ta.upf
Tc 98.00 Tc.upf
Rh 102.91 Rh.upf
CELL_PARAMETERS angstrom
3.859 0.000 0.000
0.000 3.859 0.000
0.000 0.000 3.864
ATOMIC_POSITIONS angstrom
Ta 0.000 0.000 0.000
Tc 1.929 1.929 0.000
Rh 0.000 1.929 1.932
Rh 1.929 0.000 1.932


! Ba3Mg, single point on PBEsol structure, DFT SCAN; values from VASP
! Electronic total energy   -30.85 eV per atom
! Energy above the most stable polymorph in this dataset   0.26 eV/f.u.
! DFT formation energy   5.30 kJ/mol of atoms
! SG   I4/mmm (139)
&SYSTEM
  ibrav = 0, nat = 8, ntyp = 2
/
ATOMIC_SPECIES
Ba 137.33 Ba.upf
Mg 24.30 Mg.upf
CELL_PARAMETERS angstrom
-3.175 3.175 9.191
3.175 -3.175 9.191
3.175 3.175 -9.191
ATOMIC_POSITIONS angstrom
Ba 3.175 0.000 0.000
Ba 0.000 0.000 2.338
Ba 3.175 0.000 4.595
Ba 0.000 3.175 0.000
Ba 0.000 3.175 4.595
Ba 0.000 0.000 16.043
Mg 0.000 0.000 6.724
Mg 0.000 0.000 11.657


! Ta2BeRu, single point on PBEsol structure, DFT SCAN; values from VASP
! Electronic total energy   -43.18 eV per atom
! DFT formation energy   -9.33 kJ/mol of atoms
! SG   Immm (71)
&SYSTEM
  ibrav = 0, nat = 4, ntyp = 3
/
ATOMIC_SPECIES
Ta 180.95 Ta.upf
Be 9.01 Be.upf
Ru 101.07 Ru.upf
CELL_PARAMETERS angstrom
-1.782 2.098 3.908
1.782 -2.098 3.908
1.782 2.098 -3.908
ATOMIC_POSITIONS angstrom
Ta 0.000 0.000 1.910
Ta 0.000 0.000 5.906
Be 0.000 2.098 0.000
Ru 1.782 0.000 0.000


! LaSc2Mn, single point on PBEsol structure, DFT SCAN; values from VASP
! Electronic total energy   -22.37 eV per atom
! Energy above the most stable polymorph in this dataset   0.17 eV/f.u.
! DFT formation energy   8.32 kJ/mol of atoms
! SG   Immm (71)
&SYSTEM
  ibrav = 0, nat = 4, ntyp = 3
/
ATOMIC_SPECIES
La 138.91 La.upf
Sc 44.96 Sc.upf
Mn 54.94 Mn.upf
CELL_PARAMETERS angstrom
-1.660 2.506 5.419
1.660 -2.506 5.419
1.660 2.506 -5.419
ATOMIC_POSITIONS angstrom
La 0.000 0.000 0.000
Sc 1.660 0.000 3.172
Sc 0.000 2.506 2.246
Mn 0.000 0.000 5.419


! InGePt3, single point on PBEsol structure, DFT SCAN; values from VASP
! Electronic total energy   -51.42 eV per atom
! DFT formation energy   114.76 kJ/mol of atoms
! SG   Pm-3m (221)
&SYSTEM
  ibrav = 0, nat = 5, ntyp = 3
/
ATOMIC_SPECIES
In 114.82 In.upf
Ge 72.64 Ge.upf
Pt 195.08 Pt.upf
CELL_PARAMETERS angstrom
4.874 0.000 0.000
0.000 4.874 0.000
0.000 0.000 4.874
ATOMIC_POSITIONS angstrom
In 0.000 0.000 0.000
Ge 2.437 2.437 2.437
Pt 0.000 0.000 2.437
Pt 0.000 2.437 0.000
Pt 2.437 0.000 0.000


! LaNiBN, single point on PBEsol structure, DFT SCAN; values from VASP
! Electronic total energy   -20.08 eV per atom
! Formation energy from raw total energies   -1.08 eV per atom
! SG   P4/nmm (129)
&SYSTEM
  ibrav = 0, nat = 8, ntyp = 4
/
ATOMIC_SPECIES
La 138.91 La.upf
Ni 58.69 Ni.upf
B 10.81 B.upf
N 14.01 N.upf
CELL_PARAMETERS angstrom
3.709 0.000 0.000
0.000 3.709 0.000
0.000 0.000 7.324
ATOMIC_POSITIONS angstrom
La 0.927 0.927 1.295
La 2.782 2.782 6.029
Ni 0.927 2.782 3.662
Ni 2.782 0.927 3.662
B 0.927 0.927 4.672
B 2.782 2.782 2.652
N 0.927 0.927 6.122
N 2.782 2.782 1.202